This record from OQMD describes an optimized crystal structure of Be2PdO6. The functional is PBE.

Properties
VASP energy   -5.42 eV/atom

CIF file:
```
data_Be2PdO6
_chemical_formula_sum 'Be4 Pd2 O12'
_cell_length_a 8.871
_cell_length_b 3.026
_cell_length_c 6.190
_cell_angle_alpha 90.00
_cell_angle_beta 104.65
_cell_angle_gamma 90.00
_symmetry_space_group_name_H-M 'C 1 2/m 1'
_symmetry_Int_Tables_number 12
loop_
_symmetry_equiv_pos_as_xyz
'x,y,z'
'-x,-y,-z'
'-x,y,-z'
'x,-y,z'
'x+1/2,y+1/2,z'
'-x+1/2,-y+1/2,-z'
'-x+1/2,y+1/2,-z'
'x+1/2,-y+1/2,z'
loop_
_atom_site_label
_atom_site_fract_x
_atom_site_fract_y
_atom_site_fract_z
Be1 0.220 0.000 0.172
Pd1 0.000 0.000 0.500
O1 0.042 0.000 0.213
O2 0.150 0.500 0.592
O3 0.182 0.500 0.074
```